Entry 1:
Compound: SrNiIr3
Source: Alexandria
Functional: GGA-PBE
Structure: relaxed

**D(E_F)**: 1.216 states/eV per atom
**Space group**: Pm-3m, No. 221
**Final energy**: -5.99 eV per atom
**M_tot**: 0.6549 μB per atom
**Formation energy from the elements**: 0.82 eV per atom

Unit cell a=4.6282 b=4.6282 c=4.6282 alpha=90.00 beta=90.00 gamma=90.00
Each line ends with the local moment (μB).
Sites, in units of the cell vectors:
Ir 0.5000 0.0000 0.0000  0.46
Ir 0.0000 0.5000 0.0000  0.79
Ir 0.0000 0.0000 0.5000  1.13
Ni 0.0000 0.0000 0.0000  0.87
Sr 0.5000 0.5000 0.5000  -0.01

***

Entry 2:
Compound: SrNi2Ir
Source: Alexandria
Functional: GGA-PBE
Structure: relaxed

**D(E_F)**: 1.403 states/eV per atom
**Space group**: P4mm, No. 99
**Final energy**: -5.23 eV per atom
**M_tot**: 0.2481 μB per atom
**Formation energy from the elements**: 0.30 eV per atom

Unit cell a=3.0622 b=3.0580 c=7.1629 alpha=90.00 beta=90.00 gamma=90.00
Each line ends with the local moment (μB).
Sites, in units of the cell vectors:
Ni 0.5000 0.5000 0.1777  0.23
Ni 0.0000 0.0000 0.0096  0.48
Sr 0.0000 0.0000 0.4942  -0.02
Ir 0.5000 0.5000 0.8185  0.35

***

Entry 3:
Compound: SrNi2Ir2
Source: Alexandria
Functional: GGA-PBE
Structure: relaxed

**D(E_F)**: 1.722 states/eV per atom
**Space group**: I4/mmm, No. 139
**Final energy**: -6.08 eV per atom
**Energy above the most stable polymorph in this dataset**: 60 meV per atom
**M_tot**: 0.0000 μB per atom
**Formation energy from the elements**: 0.12 eV per atom

Unit cell a=3.9883 b=3.9883 c=6.0930 alpha=70.90 beta=70.90 gamma=90.00
Sites, in units of the cell vectors:
Ir 0.7500 0.2500 0.5000
Ir 0.2500 0.7500 0.5000
Sr 0.0000 0.0000 0.0000
Ni 0.3890 0.3890 0.2221
Ni 0.6110 0.6110 0.7779

***

Entry 4:
Compound: SrNi2Ir
Source: Alexandria
Functional: GGA-PBE
Structure: relaxed

**D(E_F)**: 1.315 states/eV per atom
**Space group**: Cmmm, No. 65
**Final energy**: -5.08 eV per atom
**M_tot**: 0.3360 μB per atom
**Formation energy from the elements**: 0.45 eV per atom

Unit cell a=4.2203 b=5.6562 c=4.5026 alpha=128.91 beta=90.01 gamma=90.00
Each line ends with the local moment (μB).
Sites, in units of the cell vectors:
Ni 0.0001 0.1669 0.3338  0.51
Ni 0.9999 0.8331 0.6662  0.51
Ir 0.5000 0.0000 0.0000  0.41
Sr 0.5000 0.5000 0.0000  -0.01